No. 1
# Rb3Tl3IrO8 | Alexandria | PBE | relaxed
data_Rb3Tl3IrO8
_symmetry_space_group_name_H-M 'C 1 2/m 1'
_symmetry_Int_Tables_number 12
_cell_length_a 12.0540
_cell_length_b 6.9480
_cell_length_c 7.6525
_cell_angle_alpha 90.00
_cell_angle_beta 121.58
_cell_angle_gamma 90.00
loop_
_symmetry_equiv_pos_as_xyz
'x,y,z'
'-x,-y,-z'
'-x,y,-z'
'x,-y,z'
'x+1/2,y+1/2,z'
'-x+1/2,-y+1/2,-z'
'-x+1/2,y+1/2,-z'
'x+1/2,-y+1/2,z'
loop_
_atom_site_label
_atom_site_type_symbol
_atom_site_fract_x
_atom_site_fract_y
_atom_site_fract_z
Rb1 Rb 0.0000 0.0000 0.0000
Rb2 Rb 0.2500 0.2500 0.0000
Tl1 Tl 0.0000 0.5000 0.5000
Tl2 Tl 0.2500 0.2500 0.5000
Ir1 Ir 0.0000 0.0000 0.5000
O1 O 0.0155 0.2121 0.3351
O2 O 0.1957 0.0000 0.6649
O3 O 0.2292 0.5000 0.6849
# **Formation energy (no corrections)**: -0.98 eV per atom
# **Fermi-level density of states**: 9.62 states/eV per cell
# **Magnetic moment**: 2.2 μB/cell



No. 2
# RbTm2IrO8 | Alexandria | PBE | relaxed
data_RbTm2IrO8
_symmetry_space_group_name_H-M 'P -1'
_symmetry_Int_Tables_number 2
_cell_length_a 4.5483
_cell_length_b 4.7650
_cell_length_c 7.6717
_cell_angle_alpha 94.05
_cell_angle_beta 97.98
_cell_angle_gamma 94.64
loop_
_symmetry_equiv_pos_as_xyz
'x,y,z'
'-x,-y,-z'
loop_
_atom_site_label
_atom_site_type_symbol
_atom_site_fract_x
_atom_site_fract_y
_atom_site_fract_z
Rb1 Rb 0.0000 0.0000 0.0000
Tm1 Tm 0.4309 0.4621 0.7169
Ir1 Ir 0.0000 0.0000 0.5000
O1 O 0.0994 0.7079 0.3340
O2 O 0.2887 0.9126 0.6968
O3 O 0.2942 0.2665 0.4368
O4 O 0.3389 0.5235 0.0040
# **Formation energy (no corrections)**: -1.82 eV per atom
# **Fermi-level density of states**: 5.40 states/eV per cell
# **Magnetic moment**: 1.2 μB/cell